Record 1
First-principles (PBE) data for ScCo2Cl after structural relaxation, as listed in Alexandria.

The structure in CIF format:
```
data_ScCo2Cl
_chemical_formula_sum 'Sc1 Co2 Cl1'
_space_group_name_H-M_alt 'P 1'
_space_group_IT_number 1
_cell_length_a 3.139
_cell_length_b 3.150
_cell_length_c 7.366
_cell_angle_alpha 77.56
_cell_angle_beta 90.00
_cell_angle_gamma 90.00
loop_
_space_group_symop_operation_xyz
'x,y,z'
loop_
_atom_site_label
_atom_site_fract_x
_atom_site_fract_y
_atom_site_fract_z
_atom_site_occupancy
Sc1 0.000 0.578 0.469 1
Co1 0.500 0.200 0.226 1
Co2 0.000 0.754 0.119 1
Cl1 0.500 0.969 0.685 1
```

space group = No. 6
energy relative to the lowest polymorph listed for this composition = 80 meV per atom
energy = -5.894 eV per atom

=====

Record 2
First-principles (PBE) data for ScCo2Cl after structural relaxation, as listed in Alexandria.

The structure in CIF format:
```
data_ScCo2Cl
_chemical_formula_sum 'Sc1 Co2 Cl1'
_space_group_name_H-M_alt 'P 1'
_space_group_IT_number 1
_cell_length_a 7.976
_cell_length_b 7.976
_cell_length_c 7.976
_cell_angle_alpha 22.03
_cell_angle_beta 22.03
_cell_angle_gamma 22.03
loop_
_space_group_symop_operation_xyz
'x,y,z'
loop_
_atom_site_label
_atom_site_fract_x
_atom_site_fract_y
_atom_site_fract_z
_atom_site_occupancy
Cl1 0.750 0.750 0.750 1
Co1 0.495 0.495 0.495 1
Co2 0.005 0.005 0.005 1
Sc1 0.250 0.250 0.250 1
```

space group = No. 166
energy relative to the lowest polymorph listed for this composition = 604 meV per atom
energy = -5.370 eV per atom

=====

Record 3
First-principles (PBE) data for ScCo2Cl after structural relaxation, as listed in Alexandria.

The structure in CIF format:
```
data_ScCo2Cl
_chemical_formula_sum 'Sc1 Co2 Cl1'
_space_group_name_H-M_alt 'P 1'
_space_group_IT_number 1
_cell_length_a 2.972
_cell_length_b 2.972
_cell_length_c 7.805
_cell_angle_alpha 90.00
_cell_angle_beta 90.00
_cell_angle_gamma 113.02
loop_
_space_group_symop_operation_xyz
'x,y,z'
loop_
_atom_site_label
_atom_site_fract_x
_atom_site_fract_y
_atom_site_fract_z
_atom_site_occupancy
Co1 0.000 0.000 0.510 1
Co2 0.000 0.000 0.990 1
Sc1 0.500 0.500 0.250 1
Cl1 0.500 0.500 0.750 1
```

space group = No. 65
energy relative to the lowest polymorph listed for this composition = 664 meV per atom
energy = -5.309 eV per atom

=====

Record 4
First-principles (PBE) data for ScCo2Cl after structural relaxation, as listed in Alexandria.

The structure in CIF format:
```
data_ScCo2Cl
_chemical_formula_sum 'Sc1 Co2 Cl1'
_space_group_name_H-M_alt 'P 1'
_space_group_IT_number 1
_cell_length_a 4.394
_cell_length_b 4.394
_cell_length_c 4.394
_cell_angle_alpha 60.00
_cell_angle_beta 60.00
_cell_angle_gamma 60.00
loop_
_space_group_symop_operation_xyz
'x,y,z'
loop_
_atom_site_label
_atom_site_fract_x
_atom_site_fract_y
_atom_site_fract_z
_atom_site_occupancy
Co1 0.000 0.000 0.000 1
Co2 0.250 0.250 0.250 1
Cl1 0.500 0.500 0.500 1
Sc1 0.750 0.750 0.750 1
```

space group = No. 216
energy relative to the lowest polymorph listed for this composition = 624 meV per atom
energy = -5.350 eV per atom

=====

Record 5
First-principles (PBE) data for ScCo2Cl after structural relaxation, as listed in Alexandria.

The structure in CIF format:
```
data_ScCo2Cl
_chemical_formula_sum 'Sc1 Co2 Cl1'
_space_group_name_H-M_alt 'P 1'
_space_group_IT_number 1
_cell_length_a 4.350
_cell_length_b 4.350
_cell_length_c 4.350
_cell_angle_alpha 60.00
_cell_angle_beta 60.00
_cell_angle_gamma 60.00
loop_
_space_group_symop_operation_xyz
'x,y,z'
loop_
_atom_site_label
_atom_site_fract_x
_atom_site_fract_y
_atom_site_fract_z
_atom_site_occupancy
Cl1 0.000 0.000 0.000 1
Co1 0.250 0.250 0.250 1
Co2 0.750 0.750 0.750 1
Sc1 0.500 0.500 0.500 1
```

space group = No. 225
energy relative to the lowest polymorph listed for this composition = 812 meV per atom
energy = -5.161 eV per atom

=====

Record 6
First-principles (PBE) data for ScCo2TcCl after structural relaxation, as listed in Alexandria.

The structure in CIF format:
```
data_ScCo2TcCl
_chemical_formula_sum 'Sc1 Co2 Tc1 Cl1'
_space_group_name_H-M_alt 'P 1'
_space_group_IT_number 1
_cell_length_a 4.367
_cell_length_b 5.351
_cell_length_c 4.367
_cell_angle_alpha 90.00
_cell_angle_beta 90.00
_cell_angle_gamma 90.00
loop_
_space_group_symop_operation_xyz
'x,y,z'
loop_
_atom_site_label
_atom_site_fract_x
_atom_site_fract_y
_atom_site_fract_z
_atom_site_occupancy
Co1 0.500 0.000 0.000 1
Co2 0.000 0.000 0.500 1
Tc1 0.000 0.000 0.000 1
Cl1 0.500 0.500 0.500 1
Sc1 0.000 0.500 0.000 1
```

space group = No. 123
energy = -5.743 eV per atom

=====

Record 7
First-principles (PBE) data for ScCoTeCl2 after structural relaxation, as listed in Alexandria.

The structure in CIF format:
```
data_ScCoTeCl2
_chemical_formula_sum 'Sc1 Co1 Te1 Cl2'
_space_group_name_H-M_alt 'P 1'
_space_group_IT_number 1
_cell_length_a 4.496
_cell_length_b 5.343
_cell_length_c 4.496
_cell_angle_alpha 90.00
_cell_angle_beta 90.00
_cell_angle_gamma 90.00
loop_
_space_group_symop_operation_xyz
'x,y,z'
loop_
_atom_site_label
_atom_site_fract_x
_atom_site_fract_y
_atom_site_fract_z
_atom_site_occupancy
Co1 0.000 0.000 0.000 1
Cl1 0.500 0.000 0.000 1
Cl2 0.000 0.000 0.500 1
Sc1 0.500 0.500 0.500 1
Te1 0.000 0.500 0.000 1
```

space group = No. 123
energy = -4.463 eV per atom

=====

Record 8
First-principles (PBE) data for ScTlCoCl6 after structural relaxation, as listed in Alexandria.

The structure in CIF format:
```
data_ScTlCoCl6
_chemical_formula_sum 'Sc1 Tl1 Co1 Cl6'
_space_group_name_H-M_alt 'P 1'
_space_group_IT_number 1
_cell_length_a 6.469
_cell_length_b 6.469
_cell_length_c 7.153
_cell_angle_alpha 89.80
_cell_angle_beta 90.20
_cell_angle_gamma 60.00
loop_
_space_group_symop_operation_xyz
'x,y,z'
loop_
_atom_site_label
_atom_site_fract_x
_atom_site_fract_y
_atom_site_fract_z
_atom_site_occupancy
Co1 0.667 0.667 0.500 1
Cl1 0.623 0.383 0.701 1
Cl2 0.629 0.994 0.303 1
Cl3 0.993 0.377 0.302 1
Cl4 0.383 0.623 0.299 1
Cl5 0.994 0.629 0.697 1
Cl6 0.377 0.993 0.698 1
Tl1 0.000 0.000 0.000 1
Sc1 0.333 0.334 0.500 1
```

space group = No. 5
energy = -4.337 eV per atom

=====

no.,uncorrected formation energy (kcal/mol of atoms)
1,-6.835
2,5.250
3,6.644
4,5.718
5,10.065
6,18.632
7,-9.430
8,-31.127